Here is a geometry-optimized SrSc2Tc structure from Alexandria via LeMat-Bulk. Energies are from PBE-GGA.

Cell and atoms, written as POSCAR:
```
SrSc2Tc
1.0
-1.9553 -0.9916 -2.5718
2.2673 -2.3781 -0.7904
-4.2273 -5.8480 5.4687
Sc Sr Tc
2 1 1
Direct
0.0000 0.0000 0.9123 Sc
0.0000 0.0000 0.5877 Sc
0.5000 0.5000 0.2500 Sr
0.5000 0.5000 0.7500 Tc
```

Calculated values
Space group = Cmmm (65)
E above lowest polymorph = 0.0000 eV/atom
Crystal system = orthorhombic

---

Here is a geometry-optimized SrYSc2Tc structure from Alexandria via LeMat-Bulk. Energies are from PBE-GGA.

Cell and atoms, written as POSCAR:
```
SrYSc2Tc
1.0
-3.0251 -0.8886 4.1475
-0.6152 -4.9484 -1.5090
4.3908 -1.4291 2.8963
Y Sr Sc Tc
1 1 2 1
Direct
0.0000 0.0000 0.5000 Y
0.5000 0.5000 0.5000 Sr
0.0000 0.5000 0.0000 Sc
0.5000 0.0000 0.0000 Sc
0.0000 0.0000 0.0000 Tc
```

Calculated values
Space group = P4/mmm (123)
Final energy = -6.189 eV/atom
Crystal system = tetragonal

---

Here is a geometry-optimized SrScZnTc2 structure from Alexandria via LeMat-Bulk. Energies are from PBE-GGA.

Cell and atoms, written as POSCAR:
```
SrScZnTc2
1.0
4.7713 0.0000 0.0000
0.0000 4.9372 0.0000
0.0000 0.0000 4.7713
Sc Sr Zn Tc
1 1 1 2
Direct
0.0000 0.5000 0.0000 Sc
0.0000 0.0000 0.0000 Sr
0.5000 0.5000 0.5000 Zn
0.0000 0.0000 0.5000 Tc
0.5000 0.0000 0.0000 Tc
```

Calculated values
Space group = P4/mmm (123)
Final energy = -3.748 eV/atom
Crystal system = tetragonal

---

Here is a geometry-optimized SrScTe structure from Alexandria via LeMat-Bulk. Energies are from PBE-GGA.

Cell and atoms, written as POSCAR:
```
SrScTe
1.0
5.1908 0.0000 0.0000
2.5954 4.4953 0.0000
2.5954 1.4984 4.2382
Sc Sr Te
1 1 1
Direct
0.0000 0.0000 0.0000 Sc
0.5000 0.5000 0.5000 Sr
0.7500 0.7500 0.7500 Te
```

Calculated values
Space group = F-43m (216)
Uncorrected formation energy = -0.42 eV/atom
E above lowest polymorph = 0.2720 eV/atom
Crystal system = cubic

---

Here is a geometry-optimized SrScTe structure from Alexandria via LeMat-Bulk. Energies are from PBE-GGA.

Cell and atoms, written as POSCAR:
```
SrScTe
1.0
4.9705 0.0000 0.0000
-2.4852 4.3045 0.0000
0.0000 0.0000 4.6248
Sc Sr Te
1 1 1
Direct
0.0000 0.0000 0.8337 Sc
0.6667 0.3333 0.3335 Sr
0.3333 0.6667 0.8328 Te
```

Calculated values
Space group = P-6m2 (187)
Uncorrected formation energy = -0.59 eV/atom
E above lowest polymorph = 0.1085 eV/atom
Crystal system = hexagonal

---

Here is a geometry-optimized SrSc2Te2 structure from Alexandria via LeMat-Bulk. Energies are from PBE-GGA.

Cell and atoms, written as POSCAR:
```
SrSc2Te2
1.0
-1.4077 -3.6489 -1.9555
0.3163 -2.1542 3.7920
-7.6535 -1.0430 2.5669
Sc Sr Te
2 1 2
Direct
0.7500 0.2500 0.5000 Sc
0.2500 0.7500 0.5000 Sc
0.0000 0.0000 0.0000 Sr
0.3824 0.3824 0.2352 Te
0.6176 0.6176 0.7648 Te
```

Calculated values
Space group = I4/mmm (139)
Uncorrected formation energy = -0.94 eV/atom
E above lowest polymorph = 0.0000 eV/atom
Crystal system = tetragonal

---

Here is a geometry-optimized SrSc2Te4 structure from Alexandria via LeMat-Bulk. Energies are from PBE-GGA.

Cell and atoms, written as POSCAR:
```
SrSc2Te4
1.0
-2.4778 -3.2070 -1.3648
4.0812 2.1048 -5.6559
10.3812 -9.6762 3.8899
Sr Sc Te
2 4 8
Direct
0.6130 0.2259 0.7500 Sr
0.3870 0.7741 0.2500 Sr
0.1335 0.2671 0.4330 Sc
0.8665 0.7329 0.9330 Sc
0.1335 0.2671 0.0670 Sc
0.8665 0.7329 0.5670 Sc
0.7697 0.5394 0.1111 Te
0.7697 0.5394 0.3889 Te
0.2303 0.4606 0.8889 Te
0.2303 0.4606 0.6111 Te
0.9358 0.8716 0.7500 Te
0.0642 0.1284 0.2500 Te
0.5000 0.0000 0.0000 Te
0.5000 0.0000 0.5000 Te
```

Calculated values
Space group = Cmcm (63)
Uncorrected formation energy = -1.34 eV/atom
E above lowest polymorph = 0.0305 eV/atom
Crystal system = orthorhombic

---

Here is a geometry-optimized SrSc2Te2 structure from Alexandria via LeMat-Bulk. Energies are from PBE-GGA.

Cell and atoms, written as POSCAR:
```
SrSc2Te2
1.0
-4.7427 3.6907 -5.8396
-6.0342 1.2352 5.6814
1.5528 3.4262 0.9043
Sc Sr Te
4 2 4
Direct
0.1408 0.6408 0.5000 Sc
0.6408 0.8592 0.5000 Sc
0.8592 0.3592 0.5000 Sc
0.3592 0.1408 0.5000 Sc
0.0000 0.0000 0.0000 Sr
0.5000 0.5000 0.0000 Sr
0.3539 0.8539 0.0000 Te
0.8539 0.6461 0.0000 Te
0.6461 0.1461 0.0000 Te
0.1461 0.3539 0.0000 Te
```

Calculated values
Space group = P4/mbm (127)
Uncorrected formation energy = -0.83 eV/atom
E above lowest polymorph = 0.1121 eV/atom
Crystal system = tetragonal

---

Question: Which formula does entry 4 have?
Answer: SrScTe